a:
Computed, not measured: a relaxed RuWSe2 crystal at the PBEsol level of DFT.

The volume comes out at 17.41 A^3/atom. The mass density is 10.56 Mg/m³. As for the total magnetization: 0.00 μB/cell.

The structure belongs to space group Cmm2 (No. 35); the cell edges are 3.0812, 4.7276 and 9.5631 Å and the angles 90.00°, 90.00° and 90.00°. The inequivalent atoms are Ru at (0.0000, 0.0000, 0.0000), W at (0.0000, 0.5000, 0.2132), Se at (0.0000, 0.0000, 0.4370) and Se at (0.0000, 0.5000, 0.7776).

b:
Computed, not measured: a relaxed RuWSe2 crystal at the PBEsol level of DFT.

The volume comes out at 14.92 A^3/atom. The mass density is 12.32 Mg/m³. As for the total magnetization: 0.00 μB/cell.

The structure belongs to space group P4/mmm (No. 123); the cell edges are 3.1058, 3.1058 and 6.1864 Å and the angles 90.00°, 90.00° and 90.00°. The inequivalent atoms are Ru at (0.0000, 0.0000, 0.0000), W at (0.0000, 0.0000, 0.5000) and Se at (0.5000, 0.5000, 0.2539).

Winner for stability: b

a:
Computed, not measured: a relaxed ZnRuSe crystal at the PBEsol level of DFT.

The volume comes out at 15.96 A^3/atom. The mass density is 8.51 Mg/m³. As for the total magnetization: 0.00 μB/cell.

The structure belongs to space group I4mm (No. 107); the cell edges are 2.9390, 2.9390 and 11.0837 Å and the angles 90.00°, 90.00° and 90.00°. The inequivalent atoms are Zn at (0.0000, 0.0000, 0.0000), Ru at (0.0000, 0.0000, 0.6536) and Se at (0.0000, 0.0000, 0.2789).

b:
Computed, not measured: a relaxed ZnRuSe crystal at the PBEsol level of DFT.

The volume comes out at 16.57 A^3/atom. The mass density is 8.20 Mg/m³. As for the total magnetization: 0.02 μB/cell.

The structure belongs to space group F-43m (No. 216); the cell edges are 5.8362, 5.8362 and 5.8362 Å and the angles 90.00°, 90.00° and 90.00°. The inequivalent atoms are Zn at (0.0000, 0.0000, 0.0000), Ru at (0.0000, 0.0000, 0.5000) and Se at (0.2500, 0.2500, 0.7500).

Winner for stability: a

a:
Computed, not measured: a relaxed SiRu4 crystal at the PBEsol level of DFT.

The volume comes out at 15.52 A^3/atom. The mass density is 9.25 Mg/m³. As for the total magnetization: 0.02 μB/cell.

The structure belongs to space group Im-3m (No. 229); the cell edges are 5.3735, 5.3735 and 5.3735 Å and the angles 90.00°, 90.00° and 90.00°. The inequivalent atoms are Si at (0.0000, 0.0000, 0.0000) and Ru at (0.2500, 0.2500, 0.2500).

b:
Computed, not measured: a relaxed SiRu4 crystal at the PBEsol level of DFT.

The volume comes out at 13.12 A^3/atom. The mass density is 10.94 Mg/m³. As for the total magnetization: 0.00 μB/cell.

The structure belongs to space group I4/m (No. 87); the cell edges are 5.9071, 5.9071 and 3.7599 Å and the angles 90.00°, 90.00° and 90.00°. The inequivalent atoms are Si at (0.0000, 0.0000, 0.0000) and Ru at (0.1035, 0.3055, 0.5000).

Winner for stability: b

a:
Computed, not measured: a relaxed SrTa2Ru crystal at the PBEsol level of DFT.

The volume comes out at 21.27 A^3/atom. The mass density is 10.75 Mg/m³. As for the total magnetization: 0.00 μB/cell.

The structure belongs to space group Pmmm (No. 47); the cell edges are 2.9967, 3.6043 and 7.8775 Å and the angles 90.00°, 90.00° and 90.00°. The inequivalent atoms are Sr at (0.0000, 0.0000, 0.0000), Ta at (0.5000, 0.5000, 0.3313) and Ru at (0.0000, 0.0000, 0.5000).

b:
Computed, not measured: a relaxed SrTa2Ru crystal at the PBEsol level of DFT.

The volume comes out at 18.79 A^3/atom. The mass density is 12.16 Mg/m³. As for the total magnetization: 0.00 μB/cell.

The structure belongs to space group F-43m (No. 216); the cell edges are 6.6992, 6.6992 and 6.6992 Å and the angles 90.00°, 90.00° and 90.00°. The inequivalent atoms are Sr at (0.0000, 0.0000, 0.0000), Ta at (0.0000, 0.0000, 0.5000), Ta at (0.2500, 0.2500, 0.2500) and Ru at (0.2500, 0.2500, 0.7500).

Winner for stability: a

a:
Computed, not measured: a relaxed Ta3Ru2 crystal at the PBEsol level of DFT.

The volume comes out at 16.27 A^3/atom. The mass density is 15.20 Mg/m³. As for the total magnetization: 0.00 μB/cell.

The structure belongs to space group R-3m (No. 166, hexagonal axes); the cell edges are 2.9754, 2.9754 and 31.8399 Å and the angles 90.00°, 90.00° and 120.00°. The inequivalent atoms are Ta at (0.0000, 0.0000, 0.0000), Ta at (0.0000, 0.0000, 0.2028) and Ru at (0.0000, 0.0000, 0.3985).

b:
Computed, not measured: a relaxed Ta3Ru2 crystal at the PBEsol level of DFT.

The volume comes out at 15.86 A^3/atom. The mass density is 15.60 Mg/m³. As for the total magnetization: 0.00 μB/cell.

The structure belongs to space group P4/mmm (No. 123); the cell edges are 3.1858, 3.1858 and 15.6313 Å and the angles 90.00°, 90.00° and 90.00°. The inequivalent atoms are Ta at (0.0000, 0.0000, 0.0000), Ta at (0.0000, 0.0000, 0.1952), Ta at (0.0000, 0.0000, 0.3952), Ta at (0.5000, 0.5000, 0.5000), Ru at (0.5000, 0.5000, 0.0974) and Ru at (0.5000, 0.5000, 0.2914).

Winner for stability: b

a:
Computed, not measured: a relaxed TaTe2Ru crystal at the PBEsol level of DFT.

The volume comes out at 24.87 A^3/atom. The mass density is 8.97 Mg/m³. As for the total magnetization: 0.00 μB/cell.

The structure belongs to space group Immm (No. 71); the cell edges are 3.6539, 3.9330 and 13.8441 Å and the angles 90.00°, 90.00° and 90.00°. The inequivalent atoms are Ta at (0.0000, 0.0000, 0.0000), Te at (0.0000, 0.5000, 0.1460) and Ru at (0.0000, 0.0000, 0.5000).

b:
Computed, not measured: a relaxed TaTe2Ru crystal at the PBEsol level of DFT.

The volume comes out at 22.22 A^3/atom. The mass density is 10.04 Mg/m³. As for the total magnetization: 0.00 μB/cell.

The structure belongs to space group Imm2 (No. 44); the cell edges are 3.4486, 4.0739 and 12.6502 Å and the angles 90.00°, 90.00° and 90.00°. The inequivalent atoms are Ta at (0.0000, 0.0000, 0.0000), Te at (0.0000, 0.0000, 0.6121), Te at (0.0000, 0.5000, 0.8460) and Ru at (0.0000, 0.5000, 0.3488).

c:
Computed, not measured: a relaxed TaTe2Ru crystal at the PBEsol level of DFT.

The volume comes out at 21.13 A^3/atom. The mass density is 10.55 Mg/m³. As for the total magnetization: 0.00 μB/cell.

The structure belongs to space group R-3m (No. 166, hexagonal axes); the cell edges are 3.2922, 3.2922 and 27.0166 Å and the angles 90.00°, 90.00° and 120.00°. The inequivalent atoms are Ta at (0.0000, 0.0000, 0.0000), Te at (0.0000, 0.0000, 0.4078) and Ru at (0.0000, 0.0000, 0.5000).

d:
Computed, not measured: a relaxed TaTe2Ru crystal at the PBEsol level of DFT.

The volume comes out at 20.86 A^3/atom. The mass density is 10.69 Mg/m³. As for the total magnetization: 0.00 μB/cell.

The structure belongs to space group R-3m (No. 166, hexagonal axes); the cell edges are 3.2431, 3.2431 and 27.4873 Å and the angles 90.00°, 90.00° and 120.00°. The inequivalent atoms are Ta at (0.0000, 0.0000, 0.0000), Te at (0.0000, 0.0000, 0.0985) and Ru at (0.0000, 0.0000, 0.5000).

Winner for stability: a